Compound: Li2WF
Source: Alexandria via LeMat-Bulk
Functional: GGA+U
Structure: optimized geometry

Unit cell a=4.688 b=4.688 c=4.688 alpha=60.00 beta=60.00 gamma=60.00
Site moments in Bohr magnetons follow the coordinates.
Positions (direct):
Li  0.250  0.250  0.250  0.05
Li  0.750  0.750  0.750  0.05
W  0.500  0.500  0.500  3.81
F  0.000  0.000  0.000  0.07

Values from the calculation:
Relative energy among the computed polymorphs in meV per atom: 628
E in Ry per atom: -0.22853
SG: Fm-3m, No. 225
Crystal system: cubic